Material: NaCr2Se2
Method: DFT, GGA-PBE
State: relaxed

Cell lengths 4.753, 4.753, 7.889 Å; angles 90.00, 90.00, 90.00 degrees
Space group I4/mmm (No. 139)
Inequivalent atoms, fractional coordinates:
Na1 0.000 0.000 0.000
Cr1 0.000 0.000 0.383
Se1 0.000 0.500 0.250

Output
- Raw formation energy: -0.205 eV per atom
- Distance to the lowest polymorph of the same formula: 0.164 eV/atom
- Fermi-level density of states: 3.76 states/eV/f.u.
- Mass density: 5.31 g cm⁻³
- Total moment: 1.0 μB per formula unit
- Electronic total energy: -28.56 eV/f.u.